1.
# ThAl2ZnRh4

A relaxed ThAl2ZnRh4 crystal (PBE, Alexandria).

Cell lengths 4.2753, 4.2753, 24.6992 Å; angles 90.00, 90.00, 120.00 degrees
Space group R-3m (No. 166, hexagonal axes)
Symmetry-distinct sites (fractional):
Th 0.0000 0.0000 0.0000 x3
Al 0.0000 0.0000 0.2343 x6
Zn 0.0000 0.0000 0.5000 x3
Rh 0.0000 0.0000 0.1287 x6
Rh 0.0000 0.0000 0.3968 x6

Summary:
The value obtained for the density of states at the Fermi level is 2.1 states/eV/f.u. For the energy of formation from the pure elements, the calculation gives -0.845 eV per atom.

=====

2.
# Th2AlZn2Rh5

A relaxed Th2AlZn2Rh5 crystal (PBE, Alexandria).

Cell lengths 9.760, 9.760, 3.660 Å; angles 90.00, 90.00, 90.00 degrees
Space group P4/mbm (No. 127)
Symmetry-distinct sites (fractional):
Th 0.176 0.324 0.000 x4
Al 0.000 0.000 0.000 x2
Zn 0.122 0.622 0.000 x4
Rh 0.000 0.500 0.500 x2
Rh 0.071 0.800 0.500 x8

Summary:
The value obtained for the density of states at the Fermi level is 5.0 states/eV/f.u. For the energy of formation from the pure elements, the calculation gives -0.710 eV per atom.

=====

3.
# ThAlZn2Rh4

A relaxed ThAlZn2Rh4 crystal (PBE, Alexandria).

Cell lengths 4.3692, 4.3692, 23.3192 Å; angles 90.00, 90.00, 120.00 degrees
Space group R-3m (No. 166, hexagonal axes)
Symmetry-distinct sites (fractional):
Th 0.0000 0.0000 0.0000 x3
Al 0.0000 0.0000 0.5000 x3
Zn 0.0000 0.0000 0.2413 x6
Rh 0.0000 0.0000 0.1288 x6
Rh 0.0000 0.0000 0.3933 x6

Summary:
The value obtained for the density of states at the Fermi level is 2.6 states/eV/f.u. For the energy of formation from the pure elements, the calculation gives -0.735 eV per atom.

=====

4.
# Th2Al2ZnRh5

A relaxed Th2Al2ZnRh5 crystal (PBE, Alexandria).

Cell lengths 9.912, 9.912, 3.609 Å; angles 90.00, 90.00, 90.00 degrees
Space group P4/mbm (No. 127)
Symmetry-distinct sites (fractional):
Th 0.180 0.320 0.000 x4
Al 0.119 0.619 0.000 x4
Zn 0.000 0.000 0.000 x2
Rh 0.000 0.500 0.500 x2
Rh 0.070 0.791 0.500 x8

Summary:
The value obtained for the density of states at the Fermi level is 1.8 states/eV/f.u. For the energy of formation from the pure elements, the calculation gives -0.754 eV per atom.

=====

Q: The lowest energy of formation from the pure elements belongs to which entry?
A: ThAl2ZnRh4

=====

Q: Which of these has the highest density of states at the Fermi level?
A: Th2AlZn2Rh5

=====

Q: Look up the energy of formation from the pure elements of the third one.
A: -0.735 eV per atom